Record 1
Below is CrCuAg2 at its PBEsol-relaxed geometry, with properties calculated at the SCAN level.

Summary:
Polymorph energy (0 for the lowest one) = 0.026 eV/atom
Formation energy from the elements = 225 meV per atom
Theoretical density = 9.2 g/cm³
Volume = 60 Å³/f.u.

Unit cell a=2.9088 b=3.6471 c=5.6566 alpha=90.00 beta=90.00 gamma=90.00
Last column: nearest neighbours and their distance in Å.
Atoms (fractional coordinates):
Cr 0.5000 0.5000 0.0000  8 Ag 2.75, 2 Cu 2.83, 2 Cr 2.91
Ag 0.0000 0.0000 0.2580  4 Cu 2.70, 4 Ag 2.74-2.92, 4 Cr 2.75
Ag 0.0000 0.0000 0.7420  4 Cu 2.70, 4 Ag 2.74-2.92, 4 Cr 2.75
Cu 0.5000 0.5000 0.5000  8 Ag 2.70, 2 Cr 2.83, 2 Cu 2.91

---

Record 2
Below is CrCuAg2 at its PBEsol-relaxed geometry, with properties calculated at the SCAN level.

Summary:
Polymorph energy (0 for the lowest one) = 0.000 eV/atom
Formation energy from the elements = 199 meV per atom
Theoretical density = 9.2 g/cm³
Volume = 60 Å³/f.u.

Unit cell a=3.0855 b=3.0855 c=6.2526 alpha=90.00 beta=90.00 gamma=90.00
Last column: nearest neighbours and their distance in Å.
Atoms (fractional coordinates):
Cr 0.0000 0.0000 0.5239  4 Cu 2.56, 5 Ag 2.73-2.84
Cu 0.5000 0.5000 0.7371  4 Cr 2.56, 4 Ag 2.65
Ag 0.0000 0.0000 0.9784  4 Cu 2.65, 4 Ag 2.81, 1 Cr 2.84
Ag 0.5000 0.5000 0.2607  4 Cr 2.73, 4 Ag 2.81, 1 Cu 2.98

---

Record 3
Below is MnCr2AgF at its PBEsol-relaxed geometry, with properties calculated at the SCAN level.

Summary:
Theoretical density = 4.5 g/cm³
Total DFT energy (no corrections) = -86.47 eV/f.u.
Volume = 106 Å³/f.u.

Unit cell a=4.0840 b=5.0995 c=5.0995 alpha=90.00 beta=90.00 gamma=90.00
Last column: nearest neighbours and their distance in Å.
Atoms (fractional coordinates):
F 0.5000 0.0000 0.0000  2 Ag 2.04
Cr 0.0000 0.5000 0.0000  2 Ag 2.55
Mn 0.5000 0.5000 0.5000  8 Cr 3.27, 4 F 3.61
Cr 0.0000 0.0000 0.5000  2 Ag 2.55
Ag 0.0000 0.0000 0.0000  2 F 2.04

---

Record 4
Below is Cr2AgPtF at its PBEsol-relaxed geometry, with properties calculated at the SCAN level.

Summary:
Theoretical density = 6.0 g/cm³
Total DFT energy (no corrections) = -137.11 eV/f.u.
Volume = 118 Å³/f.u.

Unit cell a=4.7686 b=4.9684 c=4.9684 alpha=90.00 beta=90.00 gamma=90.00
Last column: nearest neighbours and their distance in Å.
Atoms (fractional coordinates):
Cr 0.0000 0.5000 0.0000  2 Ag 2.48
F 0.5000 0.5000 0.5000  8 Cr 3.44, 4 Pt 3.51
Ag 0.0000 0.0000 0.0000  2 Pt 2.38, 4 Cr 2.48
Pt 0.5000 0.0000 0.0000  2 Ag 2.38
Cr 0.0000 0.0000 0.5000  2 Ag 2.48

---

Record 5
Below is CrFeAg4 at its PBEsol-relaxed geometry, with properties calculated at the SCAN level.

Summary:
Formation energy from the elements = 491 meV per atom
Theoretical density = 8.7 g/cm³
Volume = 103 Å³/f.u.

Unit cell a=5.2691 b=5.2691 c=5.2691 alpha=60.00 beta=60.00 gamma=60.00
Last column: nearest neighbours and their distance in Å.
Atoms (fractional coordinates):
Ag 0.6250 0.6250 0.6250  6 Ag 2.63
Fe 0.0000 0.0000 0.0000  12 Ag 3.09, 4 Cr 3.23
Ag 0.6250 0.6250 0.1249  6 Ag 2.63
Cr 0.2500 0.2500 0.2500  12 Ag 3.09, 4 Fe 3.23
Ag 0.1249 0.6250 0.6250  6 Ag 2.63
Ag 0.6250 0.1249 0.6250  6 Ag 2.63

---

Record 6
Below is Cr3GaAg at its PBEsol-relaxed geometry, with properties calculated at the SCAN level.

Summary:
Formation energy from the elements = 880 meV per atom
Theoretical density = 5.5 g/cm³
Volume = 101 Å³/f.u.

Unit cell a=4.6611 b=4.6611 c=4.6611 alpha=90.00 beta=90.00 gamma=90.00
Last column: nearest neighbours and their distance in Å.
Atoms (fractional coordinates):
Cr 0.0000 0.5000 0.0000  2 Ga 2.33
Cr 0.5000 0.0000 0.0000  2 Ga 2.33
Cr 0.0000 0.0000 0.5000  2 Ga 2.33
Ag 0.5000 0.5000 0.5000  12 Cr 3.30
Ga 0.0000 0.0000 0.0000  6 Cr 2.33

---

Record 7
Below is CrAgGe2 at its PBEsol-relaxed geometry, with properties calculated at the SCAN level.

Summary:
Formation energy from the elements = 216 meV per atom
Theoretical density = 7.8 g/cm³
Volume = 65 Å³/f.u.

Unit cell a=4.5118 b=4.5118 c=4.5118 alpha=60.00 beta=60.00 gamma=60.00
Last column: nearest neighbours and their distance in Å.
Atoms (fractional coordinates):
Cr 0.0000 0.0000 0.0000  8 Ge 2.76
Ge 0.7500 0.7500 0.7500  4 Cr 2.76, 4 Ag 2.76
Ag 0.5000 0.5000 0.5000  8 Ge 2.76
Ge 0.2500 0.2500 0.2500  4 Cr 2.76, 4 Ag 2.76

---

Record 8
Below is CrAg3Ge at its PBEsol-relaxed geometry, with properties calculated at the SCAN level.

Summary:
Formation energy from the elements = 1125 meV per atom
Theoretical density = 6.6 g/cm³
Volume = 113 Å³/f.u.

Unit cell a=4.8362 b=4.8362 c=4.8362 alpha=90.00 beta=90.00 gamma=90.00
Last column: nearest neighbours and their distance in Å.
Atoms (fractional coordinates):
Ag 0.5000 0.0000 0.0000  2 Cr 2.42
Cr 0.0000 0.0000 0.0000  6 Ag 2.42
Ag 0.0000 0.5000 0.0000  2 Cr 2.42
Ge 0.5000 0.5000 0.5000  12 Ag 3.42
Ag 0.0000 0.0000 0.5000  2 Cr 2.42